(1)
GGA-PBE BaCa3Rh, relaxed; energy of formation = -0.20 eV/atom; E = -3.257 eV/atom; SG = Cm, No. 8; excess energy over the best structure of this formula in the dataset = 27 meV per atom
1.0
8.172 0.020 0.000
-2.112 7.457 -0.020
-4.045 -3.347 6.264
Ca Rh Ba
6 2 2
Cartesian
-3.600 -2.432 5.674 Ca
0.605 2.687 3.022 Ca
2.599 1.077 6.051 Ca
0.719 -2.373 5.557 Ca
-1.353 -0.704 2.413 Ca
-1.415 0.962 6.039 Ca
0.568 2.999 5.812 Rh
0.609 0.214 4.304 Rh
2.663 -0.816 2.404 Ba
4.706 2.820 2.994 Ba

---

(2)
GGA-PBE Ti2NbSbC, relaxed; E = -8.214 eV/atom; formation energy (no corrections) = -8.602 kcal/mol of atoms; SG = P4/mmm, No. 123
1.0
-0.059 -3.422 -2.462
3.919 -0.952 1.229
-1.637 -2.395 3.368
Sb Nb C Ti
1 1 1 2
Cartesian
1.111 -3.384 1.067 Sb
-0.819 -1.198 1.684 Nb
0.000 0.000 0.000 C
1.959 -0.476 0.614 Ti
-0.030 -1.711 -1.231 Ti

---

(3)
GGA-PBE YScCdAu, relaxed; energy of formation = -0.57 eV/atom; E = -4.821 eV/atom; SG = P4mm, No. 99; excess energy over the best structure of this formula in the dataset = 0 meV per atom
1.0
-2.336 -0.534 -2.660
2.692 -0.887 -2.187
-0.663 -6.810 1.948
Y Sc Cd Au
1 1 1 1
Cartesian
-0.216 -4.761 -1.265 Y
0.098 -1.536 -2.187 Sc
-0.583 -5.994 1.715 Cd
-0.220 -2.260 0.646 Au

---

(4)
GGA-PBE SbAsO5, relaxed; E = -6.018 eV/atom; formation energy (no corrections) = -28.202 kcal/mol of atoms; SG = C2/c, No. 15; excess energy over the best structure of this formula in the dataset = 12 meV per atom
1.0
5.354 -0.072 -1.444
-1.662 5.090 -1.444
0.006 0.008 7.240
Sb As O
2 2 10
Cartesian
0.000 0.000 0.000 Sb
0.003 0.004 3.620 Sb
3.117 1.582 3.986 As
0.581 3.443 0.366 As
3.022 3.135 4.717 O
0.676 1.890 -0.365 O
1.606 1.211 3.255 O
2.091 3.814 1.097 O
-1.062 4.657 3.986 O
4.760 0.368 0.366 O
3.478 0.437 5.224 O
0.220 4.588 -0.873 O
4.317 1.579 2.747 O
-0.620 3.446 1.604 O

---

(5)
GGA-PBE CoTePb2, relaxed; E = -4.074 eV/atom; formation energy (no corrections) = 7.884 kcal/mol of atoms; SG = R-3m, No. 166; excess energy over the best structure of this formula in the dataset = 260 meV per atom
1.0
-7.180 0.599 4.311
-8.362 0.045 0.749
-7.327 -2.913 2.885
Co Pb Te
1 2 1
Cartesian
-5.717 -0.567 1.986 Co
-22.440 -2.226 7.796 Pb
-11.864 -1.177 4.122 Pb
-17.152 -1.702 5.959 Te

---

(6)
GGA-PBE BPt3Rh, relaxed; energy of formation = 2.17 eV/atom; E = -4.261 eV/atom; SG = Pm-3m, No. 221; excess energy over the best structure of this formula in the dataset = 2293 meV per atom
1.0
4.829 0.000 0.000
0.000 4.829 0.000
0.000 0.000 4.829
B Rh Pt
1 1 3
Cartesian
2.415 2.415 2.415 B
0.000 0.000 0.000 Rh
0.000 2.415 0.000 Pt
0.000 0.000 2.415 Pt
2.415 0.000 0.000 Pt

---

(7)
GGA-PBE TaHg2P, relaxed; energy of formation = 0.49 eV/atom; E = -3.977 eV/atom; SG = P2/m, No. 10
1.0
-0.334 3.888 -3.540
-2.300 1.112 1.438
2.433 3.201 3.286
Ta Hg P
1 2 1
Cartesian
-1.317 2.500 -1.051 Ta
1.250 2.697 2.844 Hg
-1.117 1.615 1.879 Hg
-0.101 4.100 0.592 P

---

(8)
GGA-PBE TeAs2RhSe, relaxed; E = -3.505 eV/atom; formation energy (no corrections) = 26.523 kcal/mol of atoms; SG = P4/mmm, No. 123; excess energy over the best structure of this formula in the dataset = 788 meV per atom
1.0
4.921 0.000 0.000
0.000 5.265 0.000
0.000 0.000 4.921
As Te Rh Se
2 1 1 1
Cartesian
0.000 0.000 2.460 As
2.460 0.000 0.000 As
0.000 2.633 0.000 Te
2.460 2.633 2.460 Rh
0.000 0.000 0.000 Se

---

(9)
GGA-PBE RhSeBr2, relaxed; E = -3.067 eV/atom; formation energy (no corrections) = 11.035 kcal/mol of atoms; SG = I4/mmm, No. 139; excess energy over the best structure of this formula in the dataset = 734 meV per atom
1.0
-2.089 -4.371 1.015
4.714 -0.266 -1.475
3.142 -1.648 3.447
Br Rh Se
2 1 1
Cartesian
0.000 0.000 0.000 Br
0.527 -3.009 2.231 Br
3.928 -0.957 0.986 Rh
1.313 -2.319 -0.230 Se

---

(10)
GGA-PBE LiFe2Pb, relaxed; energy of formation = 0.22 eV/atom; E = -5.418 eV/atom; SG = Pm, No. 6
1.0
-2.025 2.393 -0.517
-0.964 -0.158 3.041
3.613 4.079 4.721
Fe Li Pb
2 1 1
Cartesian
-0.692 0.093 3.140 Fe
-0.510 2.029 1.624 Fe
1.154 1.803 3.819 Li
1.032 4.190 5.584 Pb

---

(11)
GGA-PBE TbDy2PuSb4, relaxed; E = -6.577 eV/atom; formation energy (no corrections) = -22.953 kcal/mol of atoms; SG = P2/m, No. 10
1.0
4.405 0.000 0.000
0.000 7.615 -0.150
0.000 2.676 7.132
Tb Dy Pu Sb
1 2 1 4
Cartesian
0.000 5.145 3.491 Tb
0.000 2.676 7.132 Dy
2.202 1.338 3.566 Dy
2.202 3.807 -0.075 Pu
0.000 7.727 5.232 Sb
4.405 2.564 1.750 Sb
2.202 6.389 1.668 Sb
2.202 3.902 5.314 Sb

---

(12)
GGA-PBE Zr3Ag, relaxed; energy of formation = 0.05 eV/atom; E = -7.075 eV/atom; SG = P4/mmm, No. 123
1.0
5.141 0.000 0.000
0.000 5.141 0.000
0.000 0.000 3.261
Ag Zr
1 3
Cartesian
0.000 0.000 0.000 Ag
0.000 2.571 1.631 Zr
2.571 0.000 1.631 Zr
2.571 2.571 0.000 Zr

---

Calculated density across the listed records, respectively: 3.14; 6.78; 8.07; 4.68; 9.88; 10.31; 12.90; 5.98; 6.22; 8.25; 8.37; 7.35 g cm⁻³.